Compound: MgNiAu2
Source: the Alexandria database
Functional: PBE-GGA
Structure: optimized geometry

Lattice parameters (Å, degrees): 6.3828 6.3828 6.3828 90.00 90.00 90.00
Last column: nearest neighbours and their distance in Å.
Fractional positions:
Mg1 0.0000 0.0000 0.0000  4 Ni 2.76, 4 Au 2.76
Mg2 0.0000 0.5000 0.5000  4 Ni 2.76, 4 Au 2.76
Mg3 0.5000 0.0000 0.5000  4 Ni 2.76, 4 Au 2.76
Mg4 0.5000 0.5000 0.0000  4 Ni 2.76, 4 Au 2.76
Ni1 0.2500 0.2500 0.2500  4 Mg 2.76, 4 Au 2.76
Ni2 0.2500 0.7500 0.7500  4 Mg 2.76, 4 Au 2.76
Ni3 0.7500 0.2500 0.7500  4 Mg 2.76, 4 Au 2.76
Ni4 0.7500 0.7500 0.2500  4 Mg 2.76, 4 Au 2.76
Au1 0.0000 0.0000 0.5000  4 Ni 2.76, 4 Au 2.76
Au2 0.0000 0.5000 0.0000  4 Ni 2.76, 4 Au 2.76
Au3 0.2500 0.2500 0.7500  4 Mg 2.76, 4 Au 2.76
Au4 0.2500 0.7500 0.2500  4 Mg 2.76, 4 Au 2.76
Au5 0.5000 0.0000 0.0000  4 Ni 2.76, 4 Au 2.76
Au6 0.5000 0.5000 0.5000  4 Ni 2.76, 4 Au 2.76
Au7 0.7500 0.2500 0.2500  4 Mg 2.76, 4 Au 2.76
Au8 0.7500 0.7500 0.7500  4 Au 2.76, 4 Mg 2.76

Energy of formation = -0.20 eV/atom
Symmetry = F-43m (216)
Crystal system = cubic